# 1
Density functional theory data (SCAN) for a crystal of BaCaPb2 relaxed with PBEsol.

Computed properties:
- D(E_F): 1.67 states/eV/cell
- VASP energy: -50.946 eV/atom
- Symmetry: Pmmm (47)

Structure (POSCAR):
```
BaCaPb2
1.0
-0.603 -3.280 1.614
2.650 -2.068 -3.213
6.119 1.032 4.383
Ba Pb Ca
1 2 1
direct
0.500 0.500 0.000
0.000 0.000 0.711
0.000 0.000 0.289
0.500 0.500 0.500
```

# 2
Density functional theory data (SCAN) for a crystal of Cs3NaW relaxed with PBEsol.

Computed properties:
- D(E_F): 3.74 states/eV/cell
- VASP energy: -35.887 eV/atom
- Symmetry: Pm-3m (221)

Structure (POSCAR):
```
Cs3NaW
1.0
7.161 0.000 0.000
0.000 7.161 0.000
0.000 0.000 7.161
Na W Cs
1 1 3
direct
0.000 0.000 0.000
0.500 0.500 0.500
0.000 0.000 0.500
0.000 0.500 0.000
0.500 0.000 0.000
```

# 3
Density functional theory data (SCAN) for a crystal of La2TeBr relaxed with PBEsol.

Computed properties:
- E_form (uncorrected): -1566 meV/atom
- Distance to the lowest polymorph of the same formula: 0.015 eV/atom
- D(E_F): 2.72 states/eV/cell
- VASP energy: -37.296 eV/atom
- Symmetry: R-3m (166)

Structure (POSCAR):
```
La2TeBr
1.0
4.459 0.000 0.000
2.229 3.861 0.000
2.229 1.287 6.900
Te Br La
1 1 2
direct
0.500 0.500 0.500
0.000 0.000 0.000
0.255 0.255 0.235
0.745 0.745 0.765
```

# 4
Density functional theory data (SCAN) for a crystal of LiZn2Re relaxed with PBEsol.

Computed properties:
- Distance to the lowest polymorph of the same formula: 0.000 eV/atom
- D(E_F): 0.93 states/eV/cell
- VASP energy: -25.121 eV/atom
- Symmetry: Cm (8)

Structure (POSCAR):
```
LiZn2Re
1.0
2.616 0.000 0.000
0.000 4.642 0.005
-1.308 -1.777 4.501
Zn Re Li
2 1 1
direct
0.256 0.672 0.512
0.995 0.086 0.990
0.743 0.164 0.485
0.507 0.578 0.013
```

# 5
Density functional theory data (SCAN) for a crystal of Li2VNiP2O8 relaxed with PBEsol.

Computed properties:
- E_form (uncorrected): -2387 meV/atom
- D(E_F): 10.67 states/eV/cell
- VASP energy: -10.179 eV/atom
- Symmetry: P2_1/m (11)

Structure (POSCAR):
```
Li2VNiP2O8
1.0
4.669 0.000 -0.032
0.000 5.954 0.000
-0.077 0.000 10.021
O P V Li Ni
16 4 2 4 2
direct
0.291 0.040 0.163
0.709 0.540 0.837
0.248 0.750 0.401
0.193 0.250 0.450
0.773 0.547 0.332
0.227 0.453 0.668
0.773 0.953 0.332
0.708 0.750 0.050
0.752 0.250 0.095
0.227 0.047 0.668
0.807 0.750 0.550
0.292 0.250 0.950
0.291 0.460 0.163
0.248 0.750 0.905
0.709 0.960 0.837
0.752 0.250 0.599
0.920 0.750 0.406
0.080 0.250 0.594
0.576 0.750 0.906
0.424 0.250 0.094
0.485 0.750 0.223
0.515 0.250 0.777
0.000 0.000 0.000
0.500 0.000 0.500
0.500 0.500 0.500
0.000 0.500 0.000
0.962 0.250 0.277
0.038 0.750 0.723
```

# 6
Density functional theory data (SCAN) for a crystal of Al4Ag3 relaxed with PBEsol.

Computed properties:
- Distance to the lowest polymorph of the same formula: 0.034 eV/atom
- D(E_F): 2.26 states/eV/cell
- VASP energy: -17.923 eV/atom
- Symmetry: R3 (146)

Structure (POSCAR):
```
Al4Ag3
1.0
4.907 -0.009 -0.011
-0.744 4.850 -0.011
-0.744 -0.866 4.772
Al Ag
4 3
direct
0.281 0.140 0.857
0.140 0.857 0.281
0.432 0.432 0.432
0.857 0.281 0.140
0.010 0.572 0.709
0.709 0.010 0.572
0.572 0.709 0.010
```

# 7
Density functional theory data (SCAN) for a crystal of YAl3Cl relaxed with PBEsol.

Computed properties:
- E_form (uncorrected): 1015 meV/atom
- D(E_F): 5.82 states/eV/cell
- VASP energy: -10.801 eV/atom
- Symmetry: Pm-3m (221)

Structure (POSCAR):
```
YAl3Cl
1.0
-3.785 -4.091 1.252
3.118 -1.493 4.548
-2.930 3.697 3.222
Al Cl Y
3 1 1
direct
0.000 0.500 0.000
0.000 0.000 0.500
0.500 0.000 0.000
0.500 0.500 0.500
0.000 0.000 0.000
```

# 8
Density functional theory data (SCAN) for a crystal of LiNi2Pt relaxed with PBEsol.

Computed properties:
- D(E_F): 4.05 states/eV/cell
- VASP energy: -26.375 eV/atom
- Symmetry: P4/mmm (123)

Structure (POSCAR):
```
LiNi2Pt
1.0
-2.306 -0.079 1.313
-1.989 -1.172 -3.565
0.686 -4.080 0.959
Li Ni Pt
1 2 1
direct
0.500 0.000 0.000
0.000 0.000 0.500
0.000 0.500 0.000
0.500 0.500 0.500
```

# 9
Density functional theory data (SCAN) for a crystal of MnIn2P relaxed with PBEsol.

Computed properties:
- D(E_F): 2.17 states/eV/cell
- VASP energy: -23.779 eV/atom
- Symmetry: Cm (8)

Structure (POSCAR):
```
MnIn2P
1.0
-2.040 -0.856 -1.927
0.730 -4.471 1.213
-2.931 2.561 4.199
P In Mn
1 2 1
direct
0.184 0.711 0.369
0.993 0.977 0.986
0.793 0.317 0.587
0.529 0.495 0.058
```

# 10
Density functional theory data (SCAN) for a crystal of LaY2Tl relaxed with PBEsol.

Computed properties:
- Distance to the lowest polymorph of the same formula: 0.023 eV/atom
- D(E_F): 3.99 states/eV/cell
- VASP energy: -43.089 eV/atom
- Symmetry: P4/mmm (123)

Structure (POSCAR):
```
LaY2Tl
1.0
3.615 0.000 0.000
0.000 3.615 0.000
0.000 0.000 8.895
Y La Tl
2 1 1
direct
0.000 0.000 0.277
0.000 0.000 0.723
0.500 0.500 0.000
0.500 0.500 0.500
```

# 11
Density functional theory data (SCAN) for a crystal of SrBe2AgGe relaxed with PBEsol.

Computed properties:
- D(E_F): 4.34 states/eV/cell
- VASP energy: -14.256 eV/atom
- Symmetry: P4/mmm (123)

Structure (POSCAR):
```
SrBe2AgGe
1.0
-2.381 4.158 -2.026
-4.413 -2.725 -0.405
-1.461 1.618 5.038
Sr Ag Be Ge
1 1 2 1
direct
0.000 0.000 0.000
0.500 0.500 0.500
0.000 0.500 0.000
0.500 0.000 0.000
0.000 0.000 0.500
```

# 12
Density functional theory data (SCAN) for a crystal of ZnO relaxed with PBEsol.

Computed properties:
- E_form (uncorrected): -1582 meV/atom
- VASP energy: -11.455 eV/atom
- Symmetry: P4_2/mnm (136)

Structure (POSCAR):
```
ZnO
1.0
3.245 0.000 0.000
0.000 5.530 0.000
0.000 0.000 5.530
Zn O
4 4
direct
0.000 0.318 0.682
0.500 0.182 0.182
0.500 0.818 0.818
0.000 0.682 0.318
0.500 0.818 0.182
0.000 0.682 0.682
0.500 0.182 0.818
0.000 0.318 0.318
```

# 13
Density functional theory data (SCAN) for a crystal of MnAlCu2 relaxed with PBEsol.

Computed properties:
- D(E_F): 2.02 states/eV/cell
- VASP energy: -14.243 eV/atom
- Symmetry: P2/m (10)

Structure (POSCAR):
```
MnAlCu2
1.0
-1.776 -1.302 1.328
1.384 -3.542 -1.621
3.390 -0.156 3.236
Cu Mn Al
2 1 1
direct
0.228 0.000 0.248
0.772 0.000 0.752
0.500 0.500 0.000
0.000 0.500 0.500
```

# 14
Density functional theory data (SCAN) for a crystal of GaCuO3 relaxed with PBEsol.

Computed properties:
- E_form (uncorrected): -505 meV/atom
- D(E_F): 3.62 states/eV/cell
- VASP energy: -10.553 eV/atom
- Symmetry: Pm-3m (221)

Structure (POSCAR):
```
GaCuO3
1.0
-1.253 -2.384 -2.653
-1.955 -1.892 2.625
-2.983 2.242 -0.606
Ga O Cu
1 3 1
direct
0.000 0.000 0.000
0.500 0.000 0.000
0.000 0.500 0.000
0.000 0.000 0.500
0.500 0.500 0.500
```

# 15
Density functional theory data (SCAN) for a crystal of BiIr3Se relaxed with PBEsol.

Computed properties:
- E_form (uncorrected): 2504 meV/atom
- D(E_F): 5.34 states/eV/cell
- VASP energy: -59.887 eV/atom
- Symmetry: Pm-3m (221)

Structure (POSCAR):
```
BiIr3Se
1.0
4.920 0.000 0.000
0.000 4.920 0.000
0.000 0.000 4.920
Ir Bi Se
3 1 1
direct
0.000 0.000 0.500
0.000 0.500 0.000
0.500 0.000 0.000
0.000 0.000 0.000
0.500 0.500 0.500
```

# 16
Density functional theory data (SCAN) for a crystal of BeSi2Hg relaxed with PBEsol.

Computed properties:
- E_form (uncorrected): 603 meV/atom
- Distance to the lowest polymorph of the same formula: 0.120 eV/atom
- D(E_F): 0.94 states/eV/cell
- VASP energy: -22.535 eV/atom
- Symmetry: R-3m (166)

Structure (POSCAR):
```
BeSi2Hg
1.0
-0.008 -1.922 -1.981
2.341 -0.633 -1.317
2.679 -7.766 5.604
Hg Si Be
1 2 1
direct
0.000 0.000 0.000
0.770 0.770 0.689
0.230 0.230 0.311
0.500 0.500 0.500
```

# 17
Density functional theory data (SCAN) for a crystal of ZrScPb2 relaxed with PBEsol.

Computed properties:
- Distance to the lowest polymorph of the same formula: 0.000 eV/atom
- D(E_F): 1.95 states/eV/cell
- VASP energy: -49.588 eV/atom
- Symmetry: I-4m2 (119)

Structure (POSCAR):
```
ZrScPb2
1.0
4.269 0.000 0.000
0.000 4.269 0.000
-2.134 -2.134 5.077
Pb Sc Zr
2 1 1
direct
0.250 0.750 0.500
0.000 0.000 0.000
0.500 0.500 0.000
0.750 0.250 0.500
```

# 18
Density functional theory data (SCAN) for a crystal of AlCoW2 relaxed with PBEsol.

Computed properties:
- D(E_F): 2.07 states/eV/cell
- VASP energy: -41.081 eV/atom
- Symmetry: Imm2 (44)

Structure (POSCAR):
```
AlCoW2
1.0
-1.495 1.704 -2.257
0.548 -3.207 -2.784
-3.080 -0.849 3.665
W Co Al
2 1 1
direct
0.745 0.245 0.490
0.990 0.990 0.980
0.248 0.748 0.496
0.517 0.517 0.033
```

# 19
Density functional theory data (SCAN) for a crystal of Sr3ScHg relaxed with PBEsol.

Computed properties:
- D(E_F): 9.08 states/eV/cell
- VASP energy: -29.700 eV/atom
- Symmetry: Pm-3m (221)

Structure (POSCAR):
```
Sr3ScHg
1.0
-3.747 -3.744 2.978
4.607 -1.802 3.531
-1.292 4.435 3.949
Sr Hg Sc
3 1 1
direct
0.500 0.000 0.000
0.000 0.000 0.500
0.000 0.500 0.000
0.000 0.000 0.000
0.500 0.500 0.500
```

# 20
Density functional theory data (SCAN) for a crystal of CdAg2Hg relaxed with PBEsol.

Computed properties:
- Distance to the lowest polymorph of the same formula: 0.019 eV/atom
- D(E_F): 1.04 states/eV/cell
- VASP energy: -40.321 eV/atom
- Symmetry: Cm (8)

Structure (POSCAR):
```
CdAg2Hg
1.0
-1.140 -1.697 -2.173
0.767 -4.136 2.827
-4.003 2.139 2.477
Ag Cd Hg
2 1 1
direct
0.003 0.001 0.007
0.748 0.252 0.496
0.497 0.487 0.993
0.252 0.760 0.504
```